Entry 1
VASP calculation (PBE-GGA) on a relaxed CoBS2Cl crystal.

Properties
Crystal system   tetragonal

Cell lengths 4.3486, 4.3486, 4.9595 Å; angles 90.00, 90.00, 90.00 degrees
With the nearest neighbours (Å) after each atom.
Atoms (fractional coordinates):
Co  0.0000  0.0000  0.0000  4 S 2.17
B  0.5000  0.5000  0.5000  4 Cl 3.07, 8 S 3.30
S  0.0000  0.5000  0.0000  2 Co 2.17
S  0.5000  0.0000  0.0000  2 Co 2.17
Cl  0.0000  0.0000  0.5000  2 Co 2.48

=====

Entry 2
VASP calculation (PBE-GGA) on a relaxed CoBS2Cl crystal.

Properties
Crystal system   tetragonal

Cell lengths 3.8599, 3.8599, 6.4442 Å; angles 90.00, 90.00, 90.00 degrees
With the nearest neighbours (Å) after each atom.
Atoms (fractional coordinates):
Co  0.0000  0.0000  0.0000  4 Cl 2.73
B  0.5000  0.5000  0.5000  4 S 1.93
S  0.0000  0.5000  0.5000  2 B 1.93
S  0.5000  0.0000  0.5000  2 B 1.93
Cl  0.5000  0.5000  0.0000  4 Co 2.73

=====

Which is the most stable structure? entry 2 is the most stable.

=====

Entry 1
VASP calculation (PBE-GGA) on a relaxed CrB3Cl crystal.

Properties
Crystal system   cubic

Cell lengths 4.1309, 4.1309, 4.1309 Å; angles 90.00, 90.00, 90.00 degrees
With the nearest neighbours (Å) after each atom.
Atoms (fractional coordinates):
Cr  0.0000  0.0000  0.0000  6 B 2.07
B  0.0000  0.0000  0.5000  2 Cr 2.07
B  0.0000  0.5000  0.0000  2 Cr 2.07
B  0.5000  0.0000  0.0000  2 Cr 2.07
Cl  0.5000  0.5000  0.5000  12 B 2.92

=====

Entry 2
VASP calculation (PBE-GGA) on a relaxed CrB3Cl crystal.

Properties
Crystal system   cubic

Cell lengths 3.7684, 3.7684, 3.7684 Å; angles 90.00, 90.00, 90.00 degrees
With the nearest neighbours (Å) after each atom.
Atoms (fractional coordinates):
Cr  0.0000  0.0000  0.0000  12 B 2.66
B  0.0000  0.5000  0.5000  2 Cl 1.88
B  0.5000  0.0000  0.5000  2 Cl 1.88
B  0.5000  0.5000  0.0000  2 Cl 1.88
Cl  0.5000  0.5000  0.5000  6 B 1.88

=====

Which is the most stable structure? entry 1 is the most stable.

=====

Entry 1
VASP calculation (PBE-GGA) on a relaxed CrBCl3 crystal.

Properties
Crystal system   cubic

Cell lengths 4.4580, 4.4580, 4.4580 Å; angles 90.00, 90.00, 90.00 degrees
With the nearest neighbours (Å) after each atom.
Atoms (fractional coordinates):
Cr  0.0000  0.0000  0.0000  12 Cl 3.15
B  0.5000  0.5000  0.5000  6 Cl 2.23
Cl  0.0000  0.5000  0.5000  2 B 2.23
Cl  0.5000  0.0000  0.5000  2 B 2.23
Cl  0.5000  0.5000  0.0000  2 B 2.23

=====

Entry 2
VASP calculation (PBE-GGA) on a relaxed CrBCl3 crystal.

Properties
Crystal system   cubic

Cell lengths 4.8210, 4.8210, 4.8210 Å; angles 90.00, 90.00, 90.00 degrees
With the nearest neighbours (Å) after each atom.
Atoms (fractional coordinates):
Cr  0.0000  0.0000  0.0000  6 Cl 2.41
B  0.5000  0.5000  0.5000  12 Cl 3.41
Cl  0.0000  0.0000  0.5000  2 Cr 2.41
Cl  0.0000  0.5000  0.0000  2 Cr 2.41
Cl  0.5000  0.0000  0.0000  2 Cr 2.41

=====

Which is the most stable structure? entry 2 is the most stable.

=====

Entry 1
VASP calculation (PBE-GGA) on a relaxed Cr2BCl crystal.

Properties
Crystal system   cubic

Cell lengths 3.9275, 3.9275, 3.9275 Å; angles 60.00, 60.00, 60.00 degrees
With the nearest neighbours (Å) after each atom.
Atoms (fractional coordinates):
Cr  0.2500  0.2500  0.2500  4 Cl 2.41, 4 B 2.41
Cr  0.7500  0.7500  0.7500  4 Cl 2.41, 4 B 2.41
B  0.0000  0.0000  0.0000  8 Cr 2.41
Cl  0.5000  0.5000  0.5000  8 Cr 2.41

=====

Entry 2
VASP calculation (PBE-GGA) on a relaxed Cr2BCl crystal.

Properties
Crystal system   tetragonal

Cell lengths 6.2631, 6.2631, 6.2631 Å; angles 131.80, 131.80, 70.55 degrees
With the nearest neighbours (Å) after each atom.
Atoms (fractional coordinates):
Cr  0.0553  0.6250  0.9303  2 B 2.03
Cr  0.3750  0.3053  0.4303  2 B 2.03
Cr  0.6947  0.1250  0.0697  2 B 2.03
Cr  0.8750  0.9447  0.5697  2 B 2.03
B  0.0000  0.0000  0.0000  4 Cr 2.03
B  0.7500  0.2500  0.5000  4 Cr 2.03
Cl  0.2500  0.7500  0.5000  4 Cr 2.44
Cl  0.5000  0.5000  0.0000  4 Cr 2.44

=====

Which is the most stable structure? entry 2 is the most stable.